(1)
# RbInPt2, relaxed, DFT GGA-PBE
data_RbInPt2
_chemical_formula_sum 'Rb2 In2 Pt4'
_space_group_name_H-M_alt 'P 1'
_space_group_IT_number 1
_cell_length_a 8.006
_cell_length_b 8.006
_cell_length_c 6.502
_cell_angle_alpha 52.01
_cell_angle_beta 52.01
_cell_angle_gamma 90.00
loop_
_space_group_symop_operation_xyz
'x,y,z'
loop_
_atom_site_label
_atom_site_type_symbol
_atom_site_fract_x
_atom_site_fract_y
_atom_site_fract_z
_atom_site_occupancy
Rb1 Rb 0.500 0.500 0.000 1
Rb2 Rb 0.250 0.750 0.500 1
In1 In 0.750 0.250 0.500 1
In2 In 0.000 0.000 0.000 1
Pt1 Pt 0.683 0.125 0.250 1
Pt2 Pt 0.875 0.933 0.750 1
Pt3 Pt 0.067 0.625 0.250 1
Pt4 Pt 0.375 0.317 0.750 1
# E_form	5.32	kcal/mol of atoms
# E	-3.72	eV/atom

***

(2)
# Rb2In2Pt, relaxed, DFT GGA-PBE
data_Rb2In2Pt
_chemical_formula_sum 'Rb2 In2 Pt1'
_space_group_name_H-M_alt 'P 1'
_space_group_IT_number 1
_cell_length_a 4.689
_cell_length_b 4.689
_cell_length_c 11.408
_cell_angle_alpha 78.14
_cell_angle_beta 78.14
_cell_angle_gamma 60.00
loop_
_space_group_symop_operation_xyz
'x,y,z'
loop_
_atom_site_label
_atom_site_type_symbol
_atom_site_fract_x
_atom_site_fract_y
_atom_site_fract_z
_atom_site_occupancy
Pt1 Pt 0.000 0.000 0.000 1
Rb1 Rb 0.568 0.568 0.295 1
Rb2 Rb 0.432 0.432 0.705 1
In1 In 0.688 0.688 0.936 1
In2 In 0.312 0.312 0.064 1
# E_form	-5.51	kcal/mol of atoms
# E	-2.93	eV/atom